# 1
# ZrAuSe2 (GGA-PBE, relaxed)
data_ZrAuSe2
_chemical_formula_sum 'Zr1 Au1 Se2'
_symmetry_space_group_name_H-M 'P 1'
_symmetry_Int_Tables_number 1
_cell_length_a 6.1627
_cell_length_b 6.1627
_cell_length_c 3.9366
_cell_angle_alpha 90.10
_cell_angle_beta 90.10
_cell_angle_gamma 35.23
loop_
_symmetry_equiv_pos_as_xyz
'x,y,z'
loop_
_atom_site_label
_atom_site_fract_x
_atom_site_fract_y
_atom_site_fract_z
_atom_site_occupancy
Zr1 0.0000 0.0000 0.0000 1
Au1 0.8204 0.8204 0.4986 1
Se1 0.3226 0.3226 0.9986 1
Se2 0.5842 0.5842 0.5003 1
# Raw total energy ... -21.9 eV/cell
# Total magnetic moment ... 0.00 μB per formula unit

***

# 2
# TaSnI (GGA-PBE, relaxed)
data_TaSnI
_chemical_formula_sum 'Ta3 Sn3 I3'
_symmetry_space_group_name_H-M 'P 1'
_symmetry_Int_Tables_number 1
_cell_length_a 7.5488
_cell_length_b 7.5488
_cell_length_c 6.7241
_cell_angle_alpha 96.45
_cell_angle_beta 96.45
_cell_angle_gamma 44.47
loop_
_symmetry_equiv_pos_as_xyz
'x,y,z'
loop_
_atom_site_label
_atom_site_fract_x
_atom_site_fract_y
_atom_site_fract_z
_atom_site_occupancy
Ta1 0.0000 0.0000 0.0000 1
Ta2 0.3615 0.8760 0.7414 1
Ta3 0.8760 0.3615 0.7414 1
Sn1 0.2927 0.2927 0.6371 1
Sn2 0.4731 0.4731 0.9316 1
Sn3 0.7976 0.7976 0.8710 1
I1 0.1983 0.1983 0.0998 1
I2 0.6427 0.6427 0.3914 1
I3 0.9781 0.9781 0.4375 1
# Raw total energy ... -50.2 eV/cell
# Total magnetic moment ... 0.00 μB per formula unit

***

# 3
# PmNd2Te5 (GGA-PBE, relaxed)
data_PmNd2Te5
_chemical_formula_sum 'Pm2 Nd4 Te10'
_symmetry_space_group_name_H-M 'P 1'
_symmetry_Int_Tables_number 1
_cell_length_a 9.3128
_cell_length_b 9.3128
_cell_length_c 9.3128
_cell_angle_alpha 127.02
_cell_angle_beta 127.02
_cell_angle_gamma 78.21
loop_
_symmetry_equiv_pos_as_xyz
'x,y,z'
loop_
_atom_site_label
_atom_site_fract_x
_atom_site_fract_y
_atom_site_fract_z
_atom_site_occupancy
Pm1 0.2500 0.2500 0.0000 1
Pm2 0.7500 0.7500 0.0000 1
Nd1 0.1512 0.6512 0.8024 1
Nd2 0.3488 0.1512 0.5000 1
Nd3 0.6512 0.8488 0.5000 1
Nd4 0.8488 0.3488 0.1976 1
Te1 0.0000 0.0000 0.0000 1
Te2 0.0066 0.1918 0.5000 1
Te3 0.1918 0.6918 0.1852 1
Te4 0.3082 0.4934 0.5000 1
Te5 0.4934 0.9934 0.1852 1
Te6 0.5000 0.5000 0.0000 1
Te7 0.5066 0.0066 0.8148 1
Te8 0.6918 0.5066 0.5000 1
Te9 0.8082 0.3082 0.8148 1
Te10 0.9934 0.8082 0.5000 1
# Raw total energy ... -79.7 eV/cell
# Total magnetic moment ... 0.00 μB per formula unit

***

# 4
# CaPd2Se (GGA-PBE, relaxed)
data_CaPd2Se
_chemical_formula_sum 'Ca2 Pd4 Se2'
_symmetry_space_group_name_H-M 'P 1'
_symmetry_Int_Tables_number 1
_cell_length_a 9.7881
_cell_length_b 9.7881
_cell_length_c 9.7881
_cell_angle_alpha 155.34
_cell_angle_beta 155.34
_cell_angle_gamma 35.15
loop_
_symmetry_equiv_pos_as_xyz
'x,y,z'
loop_
_atom_site_label
_atom_site_fract_x
_atom_site_fract_y
_atom_site_fract_z
_atom_site_occupancy
Ca1 0.0000 0.0000 0.0000 1
Ca2 0.7500 0.2500 0.5000 1
Pd1 0.1607 0.6250 0.0357 1
Pd2 0.3750 0.4107 0.5357 1
Pd3 0.5893 0.1250 0.9643 1
Pd4 0.8750 0.8393 0.4643 1
Se1 0.2500 0.7500 0.5000 1
Se2 0.5000 0.5000 0.0000 1
# Raw total energy ... -36.6 eV/cell
# Total magnetic moment ... 0.00 μB per formula unit

***

# 5
# ScN2Cl (GGA-PBE, relaxed)
data_ScN2Cl
_chemical_formula_sum 'Sc1 N2 Cl1'
_symmetry_space_group_name_H-M 'P 1'
_symmetry_Int_Tables_number 1
_cell_length_a 4.1184
_cell_length_b 4.1184
_cell_length_c 4.1184
_cell_angle_alpha 60.00
_cell_angle_beta 60.00
_cell_angle_gamma 60.00
loop_
_symmetry_equiv_pos_as_xyz
'x,y,z'
loop_
_atom_site_label
_atom_site_fract_x
_atom_site_fract_y
_atom_site_fract_z
_atom_site_occupancy
Sc1 0.0000 0.0000 0.0000 1
N1 0.2500 0.2500 0.2500 1
N2 0.7500 0.7500 0.7500 1
Cl1 0.5000 0.5000 0.5000 1
# Raw total energy ... -20.6 eV/cell
# Total magnetic moment ... 2.68 μB per formula unit

***

# 6
# Tb3NdSm7 (GGA-PBE, relaxed)
data_Tb3NdSm7
_chemical_formula_sum 'Tb3 Nd1 Sm7'
_symmetry_space_group_name_H-M 'P 1'
_symmetry_Int_Tables_number 1
_cell_length_a 8.5312
_cell_length_b 8.5312
_cell_length_c 8.5312
_cell_angle_alpha 139.45
_cell_angle_beta 96.92
_cell_angle_gamma 96.87
loop_
_symmetry_equiv_pos_as_xyz
'x,y,z'
loop_
_atom_site_label
_atom_site_fract_x
_atom_site_fract_y
_atom_site_fract_z
_atom_site_occupancy
Tb1 0.0000 0.0000 0.0000 1
Tb2 0.2034 0.7034 0.5000 1
Tb3 0.7966 0.2966 0.5000 1
Nd1 0.5000 0.5000 0.0000 1
Sm1 0.0032 0.2031 0.8002 1
Sm2 0.2085 0.5000 0.7085 1
Sm3 0.4029 0.2031 0.1998 1
Sm4 0.5000 0.0000 0.5000 1
Sm5 0.5971 0.7969 0.8002 1
Sm6 0.7915 0.5000 0.2915 1
Sm7 0.9968 0.7969 0.1998 1
# Energy of formation ... 0.230 eV per atom
# Total magnetic moment ... 0.10 μB per formula unit